1.
First-principles (meta-GGA SCAN) data for a PBEsol-optimized structure of LaRe2As, as listed in the Alexandria database.

Output
Calculated formation energy (eV per atom): 0.649
Total moment (μB per formula unit): 0.00

Cell lengths 4.674, 4.674, 4.674 Å; angles 60.00, 60.00, 60.00 degrees
Sites, in units of the cell vectors:
1 La 0.250 0.250 0.250
2 Re 0.000 0.000 0.000
3 Re 0.750 0.750 0.750
4 As 0.500 0.500 0.500

2.
First-principles (meta-GGA SCAN) data for a PBEsol-optimized structure of B2MoPd, as listed in the Alexandria database.

Output
Calculated formation energy (eV per atom): 0.371
Total moment (μB per formula unit): 0.00

Cell lengths 4.906, 4.906, 4.906 Å; angles 108.85, 108.85, 110.72 degrees
Sites, in units of the cell vectors:
1 Mo 0.500 0.500 0.000
2 Mo 0.750 0.250 0.500
3 B 0.125 0.633 0.008
4 B 0.625 0.117 0.992
5 Pd 0.250 0.750 0.500
6 B 0.883 0.875 0.508
7 B 0.367 0.375 0.492
8 Pd 0.000 0.000 0.000

3.
First-principles (meta-GGA SCAN) data for a PBEsol-optimized structure of InAgAs2, as listed in the Alexandria database.

Output
Calculated formation energy (eV per atom): 0.166
Total moment (μB per formula unit): 0.00

Cell lengths 3.622, 4.073, 6.266 Å; angles 108.96, 106.80, 90.00 degrees
Sites, in units of the cell vectors:
1 In 0.547 0.547 0.094
2 As 0.274 0.774 0.547
3 Ag 0.736 0.236 0.472
4 As 0.944 0.944 0.888

4.
First-principles (meta-GGA SCAN) data for a PBEsol-optimized structure of KBa2Ta, as listed in the Alexandria database.

Output
Calculated formation energy (eV per atom): 1.179
Total moment (μB per formula unit): 4.36
Energy relative to the lowest polymorph listed for this composition (meV per atom): 197

Cell lengths 5.304, 5.304, 6.817 Å; angles 112.89, 112.89, 90.00 degrees
Last column: magnetic moment on the atom in μB.
Sites, in units of the cell vectors:
1 K 0.500 0.500 0.000  0.01
2 Ba 0.750 0.250 0.500  0.11
3 Ba 0.000 0.000 0.000  0.11
4 Ta 0.250 0.750 0.500  2.16

5.
First-principles (meta-GGA SCAN) data for a PBEsol-optimized structure of BaTiP2O8, as listed in the Alexandria database.

Output
E_form (uncorrected) (eV/atom): -3.014
Total moment (μB per formula unit): 0.00

Cell lengths 4.913, 4.913, 7.706 Å; angles 86.56, 86.56, 63.96 degrees
Sites, in units of the cell vectors:
1 O 0.221 0.221 0.928
2 O 0.774 0.290 0.180
3 O 0.290 0.774 0.180
4 O 0.779 0.779 0.072
5 O 0.226 0.710 0.820
6 Ti 0.000 0.000 0.000
7 O 0.685 0.685 0.397
8 P 0.364 0.364 0.790
9 O 0.710 0.226 0.820
10 Ba 0.000 0.000 0.500
11 O 0.315 0.315 0.603
12 P 0.636 0.636 0.210

6.
First-principles (meta-GGA SCAN) data for a PBEsol-optimized structure of BaCaP2, as listed in the Alexandria database.

Output
Calculated formation energy (eV per atom): -0.985
Total moment (μB per formula unit): 0.00
Energy relative to the lowest polymorph listed for this composition (meV per atom): 0

Cell lengths 3.850, 3.850, 6.450 Å; angles 90.00, 89.94, 90.00 degrees
Sites, in units of the cell vectors:
1 P 0.000 0.000 0.680
2 P 0.000 0.000 0.320
3 Ba 0.500 0.500 0.000
4 Ca 0.500 0.500 0.500

7.
First-principles (meta-GGA SCAN) data for a PBEsol-optimized structure of ZnPtSe2, as listed in the Alexandria database.

Output
E_form (uncorrected) (eV/atom): 0.393
Total moment (μB per formula unit): 0.00

Cell lengths 3.111, 3.111, 7.105 Å; angles 90.00, 90.00, 90.00 degrees
Sites, in units of the cell vectors:
1 Pt 0.500 0.500 0.500
2 Zn 0.500 0.500 0.000
3 Se 0.000 0.000 0.264
4 Se 0.000 0.000 0.736

8.
First-principles (meta-GGA SCAN) data for a PBEsol-optimized structure of Zr3AlSn, as listed in the Alexandria database.

Output
Calculated formation energy (eV per atom): 0.751
Total moment (μB per formula unit): 0.00

Cell lengths 5.185, 5.185, 5.185 Å; angles 90.00, 90.00, 90.00 degrees
Sites, in units of the cell vectors:
1 Zr 0.500 0.000 0.000
2 Zr 0.000 0.500 0.000
3 Sn 0.000 0.000 0.000
4 Al 0.500 0.500 0.500
5 Zr 0.000 0.000 0.500

9.
First-principles (meta-GGA SCAN) data for a PBEsol-optimized structure of Y2MgIn, as listed in the Alexandria database.

Output
Calculated formation energy (eV per atom): -0.445
Total moment (μB per formula unit): 0.29

Cell lengths 3.818, 5.191, 5.191 Å; angles 89.90, 90.00, 90.00 degrees
Last column: magnetic moment on the atom in μB.
Sites, in units of the cell vectors:
1 Mg 0.500 0.500 0.500  0.01
2 Y 0.000 0.000 0.500  0.06
3 Y 0.000 0.500 0.000  0.06
4 In 0.500 0.000 0.000  -0.01

10.
First-principles (meta-GGA SCAN) data for a PBEsol-optimized structure of CaHg2Cl, as listed in the Alexandria database.

Output
E_form (uncorrected) (eV/atom): -1.001
Total moment (μB per formula unit): 0.00
Energy relative to the lowest polymorph listed for this composition (meV per atom): 0

Cell lengths 3.883, 5.153, 5.949 Å; angles 109.77, 90.00, 112.14 degrees
Sites, in units of the cell vectors:
1 Hg 0.234 0.468 0.796
2 Cl 0.787 0.574 0.363
3 Ca 0.496 0.991 0.392
4 Hg 0.983 0.966 0.950

11.
First-principles (meta-GGA SCAN) data for a PBEsol-optimized structure of Sr4Re2NiO12, as listed in the Alexandria database.

Output
E_form (uncorrected) (eV/atom): -2.423
Total moment (μB per formula unit): 2.07

Cell lengths 5.494, 5.494, 9.422 Å; angles 73.05, 73.05, 60.00 degrees
Last column: magnetic moment on the atom in μB.
Sites, in units of the cell vectors:
1 O 0.786 0.786 0.128  0.04
2 O 0.128 0.621 0.630  0.00
3 O 0.872 0.379 0.370  0.00
4 O 0.621 0.128 0.630  0.00
5 Re 0.420 0.420 0.740  0.03
6 Sr 0.292 0.292 0.125  0.00
7 Re 0.580 0.580 0.260  0.03
8 O 0.621 0.621 0.630  0.00
9 Sr 0.132 0.132 0.603  0.00
10 O 0.214 0.214 0.872  0.04
11 Sr 0.708 0.708 0.875  0.00
12 Sr 0.868 0.868 0.397  0.00
13 O 0.301 0.786 0.128  0.04
14 O 0.786 0.301 0.128  0.04
15 O 0.379 0.872 0.370  0.00
16 O 0.699 0.214 0.872  0.04
17 Ni 0.000 0.000 0.000  1.72
18 O 0.379 0.379 0.370  0.00
19 O 0.214 0.699 0.872  0.04

12.
First-principles (meta-GGA SCAN) data for a PBEsol-optimized structure of CaTcHg2, as listed in the Alexandria database.

Output
Calculated formation energy (eV per atom): 0.257
Total moment (μB per formula unit): 1.99
Energy relative to the lowest polymorph listed for this composition (meV per atom): 13

Cell lengths 3.794, 4.498, 5.495 Å; angles 114.16, 110.20, 90.00 degrees
Last column: magnetic moment on the atom in μB.
Sites, in units of the cell vectors:
1 Hg 0.994 0.994 0.988  -0.04
2 Tc 0.509 0.509 0.018  1.95
3 Hg 0.240 0.740 0.479  -0.01
4 Ca 0.758 0.258 0.515  0.00

Number 1: electronic total energy -50.72 eV/atom. Number 2: electronic total energy -20.26 eV/atom. Number 3: electronic total energy -26.12 eV/atom. Number 4: electronic total energy -37.32 eV/atom. Number 5: electronic total energy -13.53 eV/atom. Number 6: electronic total energy -18.49 eV/atom. Number 7: electronic total energy -30.57 eV/atom. Number 8: electronic total energy -26.40 eV/atom. Number 9: electronic total energy -23.96 eV/atom. Number 10: electronic total energy -39.49 eV/atom. Number 11: electronic total energy -19.38 eV/atom. Number 12: electronic total energy -45.01 eV/atom.